No. 1
A plane-wave DFT calculation with PBE-GGA was carried out for a relaxed MgTl2Sb crystal.

Geometry as CIF:
```
data_MgTl2Sb
_chemical_formula_sum 'Mg4 Tl8 Sb4'
_space_group_name_H-M_alt 'F m -3 m'
_space_group_IT_number 225
_space_group_name_Hall '-F 4 2 3'
_cell_length_a 7.722
_cell_length_b 7.722
_cell_length_c 7.722
_cell_angle_alpha 90.00
_cell_angle_beta 90.00
_cell_angle_gamma 90.00
loop_
_atom_site_label
_atom_site_type_symbol
_atom_site_fract_x
_atom_site_fract_y
_atom_site_fract_z
Mg1 Mg 0.000 0.000 0.000
Tl1 Tl 0.250 0.250 0.250
Sb1 Sb 0.000 0.000 0.500
```

Calculated values
The uncorrected formation energy is 0.05 eV/atom. As for the polymorph energy (0 for the lowest one): 107 meV per atom.



No. 2
A plane-wave DFT calculation with PBE-GGA was carried out for a relaxed Ga2GeHN crystal.

Geometry as CIF:
```
data_Ga2GeHN
_chemical_formula_sum 'Ga2 Ge1 H1 N1'
_space_group_name_H-M_alt 'P 4/m m m'
_space_group_IT_number 123
_space_group_name_Hall '-P 4 2'
_cell_length_a 4.683
_cell_length_b 4.683
_cell_length_c 2.763
_cell_angle_alpha 90.00
_cell_angle_beta 90.00
_cell_angle_gamma 90.00
loop_
_atom_site_label
_atom_site_type_symbol
_atom_site_fract_x
_atom_site_fract_y
_atom_site_fract_z
Ga1 Ga 0.000 0.500 0.000
Ge1 Ge 0.000 0.000 0.500
H1 H 0.500 0.500 0.500
N1 N 0.500 0.500 0.000
```

Calculated values
The total energy comes out at -4.15 eV/atom.



No. 3
A plane-wave DFT calculation with PBE-GGA was carried out for a relaxed Ta2BeCu crystal.

Geometry as CIF:
```
data_Ta2BeCu
_chemical_formula_sum 'Ta6 Be3 Cu3'
_space_group_name_H-M_alt 'R -3 m'
_space_group_IT_number 166
_space_group_name_Hall '-R 3 2"'
_cell_length_a 2.7826
_cell_length_b 2.7826
_cell_length_c 27.1149
_cell_angle_alpha 90.00
_cell_angle_beta 90.00
_cell_angle_gamma 120.00
loop_
_atom_site_label
_atom_site_type_symbol
_atom_site_fract_x
_atom_site_fract_y
_atom_site_fract_z
Ta1 Ta 0.0000 0.0000 0.2477
Be1 Be 0.0000 0.0000 0.5000
Cu1 Cu 0.0000 0.0000 0.0000
```

Calculated values
The formation energy comes out at 0.334 eV per atom.



No. 4
A plane-wave DFT calculation with PBE-GGA was carried out for a relaxed BaTl2In3F12 crystal.

Geometry as CIF:
```
data_BaTl2In3F12
_chemical_formula_sum 'Ba3 Tl6 In9 F36'
_space_group_name_H-M_alt 'R -3 m'
_space_group_IT_number 166
_space_group_name_Hall '-R 3 2"'
_cell_length_a 8.2327
_cell_length_b 8.2327
_cell_length_c 18.3077
_cell_angle_alpha 90.00
_cell_angle_beta 90.00
_cell_angle_gamma 120.00
loop_
_atom_site_label
_atom_site_type_symbol
_atom_site_fract_x
_atom_site_fract_y
_atom_site_fract_z
Ba1 Ba 0.0000 0.0000 0.0000
Tl1 Tl 0.0000 0.0000 0.3687
In1 In 0.0000 0.5000 0.5000
F1 F 0.0376 0.5188 0.3848
F2 F 0.0925 0.5463 0.8088
```

Calculated values
The uncorrected formation energy is -2.52 eV/atom.



Spin magnetization values, unit μB per cell, following the record order: 0.0 0.0 0.0 0.0.